1.
## Li6TmSn6 (PBE-GGA)

Data for a relaxed structure of Li6TmSn6.

a b c (Å): 7.422 7.422 7.422
angles (deg): 134.91 101.28 95.65
Positions (direct):
Li (0.000, 0.000, 0.500)
Li (0.000, 0.500, 0.000)
Li (0.248, 0.000, 0.248)
Li (0.500, 0.000, 0.000)
Li (0.500, 0.500, 0.500)
Li (0.752, 0.000, 0.752)
Tm (0.500, 0.500, 0.000)
Sn (0.155, 0.500, 0.655)
Sn (0.168, 0.168, 0.000)
Sn (0.339, 0.839, 0.500)
Sn (0.661, 0.161, 0.500)
Sn (0.832, 0.832, 0.000)
Sn (0.845, 0.500, 0.345)

Output
**Excess energy over the best structure of this formula in the dataset**: 0 meV per atom
**Crystal system**: orthorhombic
**Spin magnetization**: 0.00 μB/cell
**Space group**: No. 71



2.
## MgAgPdCl6 (PBE-GGA)

Data for a relaxed structure of MgAgPdCl6.

a b c (Å): 6.332 6.332 11.956
angles (deg): 90.00 90.00 120.00
Positions (direct):
Mg (0.333, 0.667, 0.250)
Mg (0.667, 0.333, 0.750)
Ag (0.000, 0.000, 0.000)
Ag (0.000, 0.000, 0.500)
Pd (0.333, 0.667, 0.750)
Pd (0.667, 0.333, 0.250)
Cl (0.009, 0.357, 0.633)
Cl (0.009, 0.652, 0.867)
Cl (0.348, 0.357, 0.867)
Cl (0.348, 0.991, 0.633)
Cl (0.357, 0.009, 0.133)
Cl (0.357, 0.348, 0.367)
Cl (0.643, 0.652, 0.633)
Cl (0.643, 0.991, 0.867)
Cl (0.652, 0.009, 0.367)
Cl (0.652, 0.643, 0.133)
Cl (0.991, 0.348, 0.133)
Cl (0.991, 0.643, 0.367)

Output
**Crystal system**: trigonal
**Spin magnetization**: 2.09 μB/cell
**Formation energy without anion corrections**: -862.6 meV per atom
**Space group**: No. 163



3.
## Li4Nd3Sn4 (PBE-GGA)

Data for a relaxed structure of Li4Nd3Sn4.

a b c (Å): 15.169 15.169 4.825
angles (deg): 99.12 99.12 14.21
Positions (direct):
Li (0.093, 0.093, 0.093)
Li (0.242, 0.242, 0.742)
Li (0.758, 0.758, 0.258)
Li (0.907, 0.907, 0.907)
Nd (0.358, 0.358, 0.359)
Nd (0.500, 0.500, 0.000)
Nd (0.642, 0.642, 0.641)
Sn (0.050, 0.050, 0.550)
Sn (0.185, 0.185, 0.185)
Sn (0.815, 0.815, 0.815)
Sn (0.950, 0.950, 0.450)

Output
**Excess energy over the best structure of this formula in the dataset**: 90 meV per atom
**Crystal system**: monoclinic
**Spin magnetization**: 0.00 μB/cell
**Space group**: No. 12



4.
## Nd2HoTh3Sb6 (PBE-GGA)

Data for a relaxed structure of Nd2HoTh3Sb6.

a b c (Å): 10.041 10.041 8.963
angles (deg): 102.79 102.79 25.87
Positions (direct):
Nd (0.166, 0.166, 0.333)
Nd (0.834, 0.834, 0.667)
Ho (0.500, 0.500, 0.000)
Th (0.168, 0.168, 0.834)
Th (0.500, 0.500, 0.500)
Th (0.832, 0.832, 0.166)
Sb (0.001, 0.001, 0.757)
Sb (0.334, 0.334, 0.416)
Sb (0.336, 0.336, 0.919)
Sb (0.664, 0.664, 0.081)
Sb (0.666, 0.666, 0.584)
Sb (0.999, 0.999, 0.243)

Output
**Crystal system**: monoclinic
**Spin magnetization**: 0.00 μB/cell
**Formation energy without anion corrections**: -1042.4 meV per atom
**Space group**: No. 12



5.
## BaGa2CoAu (PBE-GGA)

Data for a relaxed structure of BaGa2CoAu.

a b c (Å): 4.627 4.627 5.270
angles (deg): 90.00 90.00 90.00
Positions (direct):
Ba (0.000, 0.000, 0.000)
Ga (0.000, 0.500, 0.500)
Ga (0.500, 0.000, 0.500)
Co (0.500, 0.500, 0.500)
Au (0.500, 0.500, 0.000)

Output
**Crystal system**: tetragonal
**Spin magnetization**: 0.00 μB/cell
**E_tot**: -4.0372 eV per atom
**Space group**: No. 123



6.
## NbAl3Cu (PBE-GGA)

Data for a relaxed structure of NbAl3Cu.

a b c (Å): 4.449 4.449 4.449
angles (deg): 90.00 90.00 90.00
Positions (direct):
Nb (0.000, 0.000, 0.000)
Al (0.000, 0.500, 0.500)
Al (0.500, 0.000, 0.500)
Al (0.500, 0.500, 0.000)
Cu (0.500, 0.500, 0.500)

Output
**Excess energy over the best structure of this formula in the dataset**: 0 meV per atom
**Crystal system**: cubic
**Spin magnetization**: 0.00 μB/cell
**Space group**: No. 221



7.
## RbTe2NO (PBE-GGA)

Data for a relaxed structure of RbTe2NO.

a b c (Å): 7.199 7.199 5.742
angles (deg): 90.00 90.00 90.00
Positions (direct):
Rb (0.000, 0.000, 0.000)
Te (0.000, 0.500, 0.000)
Te (0.500, 0.000, 0.000)
N (0.000, 0.000, 0.500)
O (0.500, 0.500, 0.500)

Output
**Excess energy over the best structure of this formula in the dataset**: 1317 meV per atom
**Crystal system**: tetragonal
**Spin magnetization**: 8.00 μB/cell
**Formation energy without anion corrections**: 1910.1 meV per atom
**Space group**: No. 123



8.
## Y2B2C3 (PBE-GGA)

Data for a relaxed structure of Y2B2C3.

a b c (Å): 5.392 5.392 2.952
angles (deg): 105.80 105.80 91.93
Positions (direct):
Y (0.227, 0.227, 0.228)
Y (0.773, 0.773, 0.772)
B (0.301, 0.699, 0.000)
B (0.699, 0.301, 0.000)
C (0.205, 0.795, 0.500)
C (0.500, 0.500, 0.000)
C (0.795, 0.205, 0.500)

Output
**Crystal system**: monoclinic
**Spin magnetization**: 0.00 μB/cell
**E_tot**: -7.8727 eV per atom
**Space group**: No. 12



9.
## Pm7Sn5 (PBE-GGA)

Data for a relaxed structure of Pm7Sn5.

a b c (Å): 7.759 7.759 13.005
angles (deg): 107.42 107.42 33.37
Positions (direct):
Pm (0.000, 0.000, 0.000)
Pm (0.159, 0.159, 0.542)
Pm (0.230, 0.230, 0.847)
Pm (0.451, 0.451, 0.716)
Pm (0.549, 0.549, 0.284)
Pm (0.770, 0.770, 0.153)
Pm (0.841, 0.841, 0.458)
Sn (0.202, 0.202, 0.298)
Sn (0.383, 0.383, 0.071)
Sn (0.500, 0.500, 0.500)
Sn (0.617, 0.617, 0.929)
Sn (0.798, 0.798, 0.702)

Output
**Crystal system**: monoclinic
**Spin magnetization**: 0.95 μB/cell
**E_tot**: -4.9823 eV per atom
**Space group**: No. 12



10.
## CaIr2C (PBE-GGA)

Data for a relaxed structure of CaIr2C.

a b c (Å): 7.242 7.242 7.242
angles (deg): 139.23 139.23 59.03
Positions (direct):
Ca (0.375, 0.625, 0.750)
Ca (0.625, 0.375, 0.250)
Ir (0.000, 0.000, 0.000)
Ir (0.000, 0.000, 0.500)
Ir (0.000, 0.500, 0.000)
Ir (0.500, 0.000, 0.500)
C (0.125, 0.875, 0.250)
C (0.875, 0.125, 0.750)

Output
**Crystal system**: tetragonal
**Spin magnetization**: 0.00 μB/cell
**E_tot**: -6.9779 eV per atom
**Space group**: No. 141



11.
## CuAg2Rh2 (PBE-GGA)

Data for a relaxed structure of CuAg2Rh2.

a b c (Å): 6.256 6.256 4.300
angles (deg): 90.00 90.00 90.00
Positions (direct):
Cu (0.000, 0.000, 0.000)
Cu (0.500, 0.500, 0.000)
Ag (0.170, 0.330, 0.500)
Ag (0.330, 0.830, 0.500)
Ag (0.670, 0.170, 0.500)
Ag (0.830, 0.670, 0.500)
Rh (0.136, 0.636, 0.000)
Rh (0.364, 0.136, 0.000)
Rh (0.636, 0.864, 0.000)
Rh (0.864, 0.364, 0.000)

Output
**Crystal system**: tetragonal
**Spin magnetization**: 1.68 μB/cell
**E_tot**: -4.4395 eV per atom
**Space group**: No. 127



12.
## Li5NiSn5 (PBE-GGA)

Data for a relaxed structure of Li5NiSn5.

a b c (Å): 8.417 8.417 8.417
angles (deg): 146.30 132.26 59.71
Positions (direct):
Li (0.000, 0.000, 0.000)
Li (0.167, 0.667, 0.500)
Li (0.296, 0.296, 0.000)
Li (0.704, 0.704, 0.000)
Li (0.833, 0.333, 0.500)
Ni (0.500, 0.000, 0.500)
Sn (0.127, 0.846, 0.280)
Sn (0.434, 0.154, 0.280)
Sn (0.500, 0.500, 0.000)
Sn (0.566, 0.846, 0.720)
Sn (0.873, 0.154, 0.720)

Output
**Crystal system**: orthorhombic
**Spin magnetization**: 0.00 μB/cell
**E_tot**: -3.3995 eV per atom
**Space group**: No. 71